HoMgIn4, relaxed, DFT PBE-GGA; total magnetic moment = 0.00 μB/atom; energy relative to the lowest polymorph listed for this composition = 0.0000 eV per atom; DOS(E_F) = 4.44 states/eV per cell; space group = No. 216; ΔH_f (0 K) = -0.349 eV per formula unit; volume = 154.7 Å³/cell
1.0
0.000 4.260 4.260
4.260 0.000 4.260
4.260 4.260 0.000
Ho Mg In
1 1 4
direct
0.000 0.000 0.000
0.250 0.250 0.250
0.125 0.625 0.625
0.625 0.125 0.625
0.625 0.625 0.125
0.625 0.625 0.625